No. 1
{"formula": "Tc2GeP2", "functional": "PBEsol", "state": "relaxed", "final_energy_ev_per_atom": -8.006, "sg": "I4/mmm", "m_tot_mub_per_cell": 0.0, "formation_energy_kcal_per_mol_atoms": -4.49, "lattice_angstrom": [[-1.762, 1.762, 5.827], [1.762, -1.762, 5.827], [1.762, 1.762, -5.827]], "species": ["Tc", "Tc", "Ge", "P", "P"], "fractional_positions": [[0.119, 0.119, 0.000], [0.881, 0.881, 0.000], [0.500, 0.500, 0.000], [0.250, 0.750, 0.500], [0.750, 0.250, 0.500]]}


No. 2
{"formula": "MoOsAu2", "functional": "PBEsol", "state": "relaxed", "final_energy_ev_per_atom": -7.629, "sg": "I-4m2", "m_tot_mub_per_cell": 0.0, "formation_energy_kcal_per_mol_atoms": 7.60, "lattice_angstrom": [[-1.974, 1.974, 3.959], [1.974, -1.974, 3.959], [1.974, 1.974, -3.959]], "species": ["Mo", "Os", "Au", "Au"], "fractional_positions": [[0.000, 0.000, 0.000], [0.250, 0.750, 0.500], [0.500, 0.500, 0.000], [0.750, 0.250, 0.500]]}